No. 1
Here is Li2HoHg3 after structural relaxation from Alexandria via LeMat-Bulk. Energies are from GGA-PBE.

Calculated values
Energy relative to the elements (eV/atom): -0.3961
DFT total energy (eV per cell): -23.38

Cell: 4.9144 4.9144 12.1400 Å, 90.00 90.00 120.00°
Closest atoms and distances in Å follow each position.
Space group P-3m1 (No. 164)
Asymmetric unit:
Li  0.0000  0.0000  0.0000 (multiplicity 1)  8 Hg 2.81-2.98
Li  0.0000  0.0000  0.5000 (multiplicity 1)  8 Hg 2.99-3.26
Li  0.3333  0.6667  0.1617 (multiplicity 2)  8 Hg 2.86-3.15
Ho  0.3333  0.6667  0.6724 (multiplicity 2)  8 Hg 3.05-3.08
Hg  0.0000  0.0000  0.2319 (multiplicity 2)  4 Li 2.81-2.96, 3 Ho 3.07
Hg  0.3333  0.6667  0.4214 (multiplicity 2)  4 Li 2.99-3.15, 4 Ho 3.05-3.06
Hg  0.3333  0.6667  0.9260 (multiplicity 2)  7 Li 2.86-3.03, 1 Ho 3.08


No. 2
Here is Li4HoHg5 after structural relaxation from Alexandria via LeMat-Bulk. Energies are from GGA-PBE.

Calculated values
Energy relative to the elements (eV/atom): -0.3790
DFT total energy (eV per cell): -17.53

Cell: 3.4469 3.4469 16.7201 Å, 90.00 90.00 90.00°
Closest atoms and distances in Å follow each position.
Space group P4/mmm (No. 123)
Asymmetric unit:
Li  0.0000  0.0000  0.0935 (multiplicity 2)  8 Hg 2.90-2.91, 2 Li 3.13-3.18
Li  0.0000  0.0000  0.2834 (multiplicity 2)  8 Hg 2.91, 1 Li 3.18
Ho  0.0000  0.0000  0.5000 (multiplicity 1)  8 Hg 3.17, 4 Ho 3.45
Hg  0.5000  0.5000  0.0000 (multiplicity 1)  8 Li 2.90, 2 Hg 3.15
Hg  0.5000  0.5000  0.1882 (multiplicity 2)  8 Li 2.91, 2 Hg 3.15-3.18
Hg  0.5000  0.5000  0.3786 (multiplicity 2)  4 Li 2.91, 4 Ho 3.17, 1 Hg 3.18